# BaNa2TiF8

A relaxed structure of BaNa2TiF8 (PBE-GGA, Alexandria).

Values from the calculation:
crystal system = triclinic
DOS(E_F) = 0.000 states/eV/atom
E_tot = -5.59 eV/atom
SG = P-1
volume = 193.46 Å³/cell
uncorrected formation energy = -3301 meV/atom

Cell and atoms, written as POSCAR:
```
BaNa2TiF8
1.0
-4.3453 -1.1907 -1.1154
1.8533 -4.0095 -3.2809
-0.1704 -4.8527 5.8156
F Na Ba Ti
8 2 1 1
Direct
0.1656 0.8053 0.8170
0.8344 0.1947 0.1830
0.5495 0.7388 0.5000
0.4505 0.2612 0.5000
0.3038 0.2222 0.9998
0.1651 0.8051 0.1833
0.8349 0.1949 0.8167
0.6962 0.7778 0.0002
0.4995 0.4996 0.7505
0.5005 0.5004 0.2495
0.0000 0.0000 0.5000
0.0000 0.0000 0.0000
```

# La3Ta

A relaxed structure of La3Ta (PBE-GGA, Alexandria).

Values from the calculation:
crystal system = cubic
DOS(E_F) = 1.779 states/eV/atom
E_tot = -6.21 eV/atom
SG = Pm-3m
ΔH_f (0 K) = 444.2 meV/atom
volume = 118.97 Å³/cell

Cell and atoms, written as POSCAR:
```
La3Ta
1.0
-4.6567 0.0638 -1.5812
-1.0337 -3.8436 2.8893
-1.1982 3.0680 3.6526
La Ta
3 1
Direct
0.5000 0.0000 0.5000
0.0000 0.5000 0.5000
0.0000 0.0000 0.0000
0.5000 0.5000 0.0000
```